(1)
A plane-wave DFT calculation with PBE-GGA was carried out for a relaxed Sr6Sn2H crystal.

Values from the calculation:
The mass density is 3.8 g/cm3. The value obtained for the density of states at the Fermi level is 7.57 states/eV per cell. For the total moment, the calculation gives 0.00 μB/f.u. Its space group is No. 14. The value obtained for the uncorrected energy is -2.821 eV/atom.

Unit cell a=7.421 b=8.367 c=13.040 alpha=90.00 beta=124.67 gamma=90.00
Fractional coordinates of all 18 atoms:
Sr1 0.134 0.186 0.452
Sr2 0.134 0.314 0.952
Sr3 0.267 0.686 0.451
Sr4 0.267 0.814 0.951
Sr5 0.342 0.021 0.249
Sr6 0.342 0.479 0.749
Sr7 0.658 0.521 0.251
Sr8 0.658 0.979 0.751
Sr9 0.733 0.186 0.049
Sr10 0.733 0.314 0.549
Sr11 0.866 0.686 0.048
Sr12 0.866 0.814 0.548
Sn1 0.219 0.093 0.751
Sn2 0.219 0.407 0.251
Sn3 0.781 0.593 0.749
Sn4 0.781 0.907 0.249
H1 0.000 0.000 0.000
H2 0.000 0.500 0.500



(2)
A plane-wave DFT calculation with PBE-GGA was carried out for a relaxed NiSbOs2 crystal.

Values from the calculation:
The mass density is 15.2 g/cm3. The uncorrected formation energy comes out at 0.3811 eV/atom. The value obtained for the density of states at the Fermi level is 3.17 states/eV per cell. For the total moment, the calculation gives 0.00 μB/f.u. Its space group is No. 25.

Unit cell a=2.895 b=3.759 c=5.636 alpha=90.00 beta=90.00 gamma=90.00
Fractional coordinates of all 4 atoms:
Ni1 0.000 0.000 0.000
Sb1 0.500 0.500 0.756
Os1 0.000 0.000 0.454
Os2 0.500 0.500 0.240



(3)
A plane-wave DFT calculation with PBE-GGA was carried out for a relaxed Na5Sr7Ca crystal.

Values from the calculation:
The mass density is 2.0 g/cm3. The value obtained for the density of states at the Fermi level is 10.67 states/eV per cell. For the total moment, the calculation gives 0.00 μB/f.u. Its space group is No. 44. The energy relative to the elements comes out at 0.064 eV per atom.

Unit cell a=9.963 b=9.963 c=9.963 alpha=137.24 beta=100.45 gamma=94.84
Fractional coordinates of all 13 atoms:
Na1 0.000 0.000 0.000
Na2 0.239 0.225 0.494
Na3 0.239 0.745 0.014
Na4 0.731 0.225 0.986
Na5 0.731 0.745 0.506
Sr1 0.056 0.233 0.823
Sr2 0.410 0.233 0.177
Sr3 0.474 0.474 0.000
Sr4 0.582 0.742 0.840
Sr5 0.617 0.117 0.500
Sr6 0.903 0.742 0.160
Sr7 0.916 0.416 0.500
Ca1 0.298 0.798 0.500



(4)
A plane-wave DFT calculation with PBE-GGA was carried out for a relaxed ScBeFe2 crystal.

Values from the calculation:
The mass density is 5.5 g/cm3. The value obtained for the density of states at the Fermi level is 2.79 states/eV per cell. For the total moment, the calculation gives 2.57 μB/f.u. Its space group is No. 10. The energy relative to the elements comes out at -0.044 eV per atom.

Unit cell a=2.954 b=2.962 c=5.714 alpha=90.00 beta=90.16 gamma=90.00
Fractional coordinates of all 4 atoms:
Sc1 0.000 0.000 0.000
Be1 0.000 0.000 0.500
Fe1 0.499 0.500 0.693
Fe2 0.501 0.500 0.307